KCaSc2 after structural relaxation, computed with GGA-PBE.

Calculated values
- ΔE_f: 511 meV/atom
- Energy relative to the lowest polymorph listed for this composition: 0.241 eV per atom

abc: 7.143 7.143 7.143
angles: 150.89 127.69 60.98
Sites, in units of the cell vectors:
Sc  0.774  0.274  0.500
Ca  0.513  0.513  0.000
K  0.239  0.739  0.500
Sc  0.974  0.974  0.000